Entry 1:
# CaSi2 PBE relaxed
data_CaSi2
_chemical_formula_sum 'Ca8 Si16'
_cell_length_a 5.800
_cell_length_b 5.800
_cell_length_c 20.485
_cell_angle_alpha 90.00
_cell_angle_beta 90.00
_cell_angle_gamma 90.00
_symmetry_space_group_name_H-M 'I 41/a m d'
_symmetry_Int_Tables_number 141
loop_
_symmetry_equiv_pos_as_xyz
'x,y,z'
'-x,-y,-z'
'-y+1/4,x+3/4,z+1/4'
'y+1/4,-x+3/4,-z+1/4'
'-x+1/2,-y,z+1/2'
'x+1/2,y,-z+1/2'
'y+1/4,-x+1/4,z+3/4'
'-y+1/4,x+1/4,-z+3/4'
'x,-y,-z'
'-x,y,z'
'-y+1/4,-x+1/4,-z+3/4'
'y+1/4,x+1/4,z+3/4'
'-x+1/2,y,-z+1/2'
'x+1/2,-y,z+1/2'
'y+1/4,x+3/4,-z+1/4'
'-y+1/4,-x+3/4,z+1/4'
'x+1/2,y+1/2,z+1/2'
'-x+1/2,-y+1/2,-z+1/2'
'-y+3/4,x+1/4,z+3/4'
'y+3/4,-x+1/4,-z+3/4'
'-x,-y+1/2,z'
'x,y+1/2,-z'
'y+3/4,-x+3/4,z+1/4'
'-y+3/4,x+3/4,-z+1/4'
'x+1/2,-y+1/2,-z+1/2'
'-x+1/2,y+1/2,z+1/2'
'-y+3/4,-x+3/4,-z+1/4'
'y+3/4,x+3/4,z+1/4'
'-x,y+1/2,-z'
'x,-y+1/2,z'
'y+3/4,x+1/4,-z+3/4'
'-y+3/4,-x+1/4,z+3/4'
loop_
_atom_site_label
_atom_site_type_symbol
_atom_site_fract_x
_atom_site_fract_y
_atom_site_fract_z
_atom_site_occupancy
Ca1 Ca 0.000 0.000 0.000 1
Si1 Si 0.000 0.031 0.150 1
# Total magnetic moment: 0.000 μB/atom
# Formation energy from raw total energies: 0.7 eV per formula unit
# Density: 1.86 g/cm3
# D(E_F): 1.34 states/eV/f.u.

---

Entry 2:
# Lu2GaN PBE relaxed
data_Lu2GaN
_chemical_formula_sum 'Lu6 Ga3 N3'
_cell_length_a 3.3566
_cell_length_b 3.3566
_cell_length_c 25.2425
_cell_angle_alpha 90.00
_cell_angle_beta 90.00
_cell_angle_gamma 120.00
_symmetry_space_group_name_H-M 'R -3 m'
_symmetry_Int_Tables_number 166
_symmetry_space_group_name_Hall '-R 3 2"'
loop_
_atom_site_label
_atom_site_type_symbol
_atom_site_fract_x
_atom_site_fract_y
_atom_site_fract_z
_atom_site_occupancy
Lu1 Lu 0.0000 0.0000 0.1157 1
Ga1 Ga 0.0000 0.0000 0.0000 1
N1 N 0.0000 0.0000 0.5000 1
# Total magnetic moment: 0.000 μB/atom
# Formation energy from raw total energies: -3.0 eV per formula unit
# Density: 8.77 g/cm3
# D(E_F): 3.21 states/eV/f.u.